KCoOs2: single point on PBEsol structure, SCAN.

Results
Density of states at the Fermi level (states/eV per cell): 3.8
ΔE_f (kJ per mole of atoms): 78.5

Geometry as POSCAR:
```
KCoOs2
1.0
1.339 0.773 9.891
-1.339 0.773 9.891
0.000 -1.546 9.891
K Co Os
1 1 2
Cartesian
0.000 0.000 0.000 K
0.000 0.000 14.836 Co
0.000 0.000 6.947 Os
0.000 0.000 22.725 Os
```

---

KCoOs2: single point on PBEsol structure, SCAN.

Results
Density of states at the Fermi level (states/eV per cell): 4.0
ΔE_f (kJ per mole of atoms): 170.3

Geometry as POSCAR:
```
KCoOs2
1.0
-1.847 1.847 4.691
1.847 -1.847 4.691
1.847 1.847 -4.691
K Co Os
1 1 2
Cartesian
0.000 0.000 0.000 K
0.000 0.000 4.691 Co
1.847 0.000 2.346 Os
0.000 1.847 2.346 Os
```

---

KCo2P: single point on PBEsol structure, SCAN.

Results
Density of states at the Fermi level (states/eV per cell): 1.8
ΔE_f (kJ per mole of atoms): 22.3

Geometry as POSCAR:
```
KCo2P
1.0
2.674 0.000 0.000
0.000 3.354 0.000
0.000 0.000 7.176
K Co P
1 2 1
Cartesian
0.000 0.000 0.000 K
0.000 0.000 3.449 Co
1.337 1.677 4.546 Co
1.337 1.677 2.375 P
```

---

KCoP4: single point on PBEsol structure, SCAN.

Results
Density of states at the Fermi level (states/eV per cell): 2.2
ΔE_f (kJ per mole of atoms): 51.5

Geometry as POSCAR:
```
KCoP4
1.0
0.000 3.729 3.729
3.729 0.000 3.729
3.729 3.729 0.000
K Co P
1 1 4
Cartesian
0.000 0.000 0.000 K
1.865 1.865 1.865 Co
4.551 2.907 2.907 P
2.907 4.551 2.907 P
2.907 2.907 4.551 P
4.551 4.551 4.551 P
```

---

K2CoPb: single point on PBEsol structure, SCAN.

Results
Density of states at the Fermi level (states/eV per cell): 2.6
ΔE_f (kJ per mole of atoms): 62.2

Geometry as POSCAR:
```
K2CoPb
1.0
1.690 0.975 11.421
-1.690 0.975 11.421
0.000 -1.951 11.421
K Co Pb
2 1 1
Cartesian
0.000 0.000 8.288 K
0.000 0.000 25.975 K
0.000 0.000 17.131 Co
0.000 0.000 0.000 Pb
```

---

KCoPb2: single point on PBEsol structure, SCAN.

Results
Density of states at the Fermi level (states/eV per cell): 1.9
ΔE_f (kJ per mole of atoms): 8.3

Geometry as POSCAR:
```
KCoPb2
1.0
2.150 1.241 7.056
-2.150 1.241 7.056
0.000 -2.483 7.056
K Co Pb
1 1 2
Cartesian
0.000 0.000 0.000 K
0.000 0.000 3.624 Co
0.000 0.000 11.641 Pb
0.000 0.000 16.689 Pb
```

---

KCoPb2: single point on PBEsol structure, SCAN.

Results
Density of states at the Fermi level (states/eV per cell): 1.6
ΔE_f (kJ per mole of atoms): 15.3

Geometry as POSCAR:
```
KCoPb2
1.0
3.310 0.000 0.000
0.000 3.310 0.000
0.000 0.000 8.706
K Co Pb
1 1 2
Cartesian
0.000 0.000 0.000 K
0.000 0.000 4.353 Co
1.655 1.655 2.758 Pb
1.655 1.655 5.949 Pb
```

---

K2CoPb: single point on PBEsol structure, SCAN.

Results
Density of states at the Fermi level (states/eV per cell): 2.9
ΔE_f (kJ per mole of atoms): 20.0

Geometry as POSCAR:
```
K2CoPb
1.0
3.811 -2.196 0.000
3.811 2.196 0.000
-2.420 0.000 9.095
K Co Pb
2 1 1
Cartesian
0.000 0.000 0.000 K
-0.002 0.000 4.869 K
5.080 0.000 2.437 Co
2.542 0.000 2.435 Pb
```

---

KCoPb2: single point on PBEsol structure, SCAN.

Results
Density of states at the Fermi level (states/eV per cell): 2.9
ΔE_f (kJ per mole of atoms): 30.9

Geometry as POSCAR:
```
KCoPb2
1.0
3.611 0.000 0.000
0.000 3.611 0.000
0.000 0.000 8.491
K Co Pb
1 1 2
Cartesian
0.000 0.000 0.000 K
1.806 1.806 5.185 Co
0.000 0.000 5.125 Pb
1.806 1.806 2.613 Pb
```

---

KCoPb2: single point on PBEsol structure, SCAN.

Results
Density of states at the Fermi level (states/eV per cell): 2.0
ΔE_f (kJ per mole of atoms): 50.2

Geometry as POSCAR:
```
KCoPb2
1.0
3.243 -4.843 0.000
3.243 4.843 0.000
0.000 0.000 3.158
K Co Pb
1 1 2
Cartesian
0.000 0.000 0.000 K
3.243 0.000 0.000 Co
1.622 2.421 1.579 Pb
1.622 -2.421 1.579 Pb
```

---

KCoPb2: single point on PBEsol structure, SCAN.

Results
Density of states at the Fermi level (states/eV per cell): 2.1
ΔE_f (kJ per mole of atoms): 20.8

Geometry as POSCAR:
```
KCoPb2
1.0
-1.637 3.004 5.293
1.637 -3.004 5.293
1.637 3.004 -5.293
K Co Pb
1 1 2
Cartesian
0.000 0.000 0.000 K
0.000 0.000 5.293 Co
1.637 0.000 3.221 Pb
0.000 3.004 2.072 Pb
```

---

KCoPb2: single point on PBEsol structure, SCAN.

Results
Density of states at the Fermi level (states/eV per cell): 1.0
ΔE_f (kJ per mole of atoms): 37.1

Geometry as POSCAR:
```
KCoPb2
1.0
0.000 3.706 3.706
3.706 0.000 3.706
3.706 3.706 0.000
K Co Pb
1 1 2
Cartesian
0.000 0.000 0.000 K
5.559 5.559 5.559 Co
1.853 1.853 1.853 Pb
3.706 3.706 3.706 Pb
```

---

Please write out number 5 again, unchanged.
K2CoPb: single point on PBEsol structure, SCAN.

Results
Density of states at the Fermi level (states/eV per cell): 2.6
ΔE_f (kJ per mole of atoms): 62.2

Geometry as POSCAR:
```
K2CoPb
1.0
1.690 0.975 11.421
-1.690 0.975 11.421
0.000 -1.951 11.421
K Co Pb
2 1 1
Cartesian
0.000 0.000 8.288 K
0.000 0.000 25.975 K
0.000 0.000 17.131 Co
0.000 0.000 0.000 Pb
```